# 1
This record from Alexandria describes a relaxed Ba2MgCd3 crystal. The functional is PBE.

Cell: 10.6250 10.1314 6.7335 Å, 75.09 67.14 37.76°
Fractional positions:
Ba 0.2474 0.7526 0.7526
Ba 0.2500 0.2500 0.2500
Ba 0.7500 0.7500 0.7500
Ba 0.7526 0.2474 0.2474
Mg 0.3333 0.3333 0.6667
Mg 0.6667 0.6667 0.3333
Cd 0.1674 0.1674 0.8326
Cd 0.1673 0.6656 0.3344
Cd 0.3344 0.8327 0.1673
Cd 0.6656 0.1673 0.8327
Cd 0.8327 0.3344 0.6656
Cd 0.8326 0.8326 0.1674

SG = Fmmm

# 2
This record from Alexandria describes a relaxed BaMg6Cd crystal. The functional is PBE.

Cell: 4.9713 7.7983 7.7983 Å, 48.04 90.00 90.00°
Fractional positions:
Ba 0.0000 0.0000 0.0000
Mg 0.0000 0.0416 0.5156
Mg 0.0000 0.5156 0.0416
Mg 0.0000 0.5921 0.5921
Mg 0.5000 0.3938 0.9048
Mg 0.5000 0.4180 0.4180
Mg 0.5000 0.9048 0.3938
Cd 0.5000 0.8277 0.8277

SG = Amm2

# 3
This record from Alexandria describes a relaxed BaMg3Cd3 crystal. The functional is PBE.

Cell: 9.0570 9.0570 5.7091 Å, 90.00 90.00 120.00°
Fractional positions:
Ba 0.3333 0.6667 0.2500
Ba 0.6667 0.3333 0.7500
Mg 0.1147 0.8835 0.7500
Mg 0.1165 0.2311 0.7500
Mg 0.2311 0.1147 0.2500
Mg 0.7689 0.8853 0.7500
Mg 0.8835 0.7689 0.2500
Mg 0.8853 0.1165 0.2500
Cd 0.0949 0.5469 0.7500
Cd 0.4520 0.9051 0.7500
Cd 0.4531 0.5480 0.7500
Cd 0.5469 0.4520 0.2500
Cd 0.5480 0.0949 0.2500
Cd 0.9051 0.4531 0.2500

SG = P6_3/m

Here are the calculated raw total energy numbers, same order: -19.40; -12.23; -19.47 (eV per cell).